# PmDy3Ho8 GGA-PBE optimized geometry
# Crystal system ... tetragonal
# SG ... I-42m (121)
# Density ... 7.7 g/cm³
# Total moment ... 0.001 μB/atom
# DFT formation energy ... 664 meV/atom
# VASP energy ... -3.934 eV per atom
data_PmDy3Ho8
_chemical_formula_sum 'Pm1 Dy3 Ho8'
_symmetry_space_group_name_H-M 'P 1'
_symmetry_Int_Tables_number 1
_symmetry_space_group_name_Hall 'P 1'
_cell_length_a 8.325
_cell_length_b 8.325
_cell_length_c 8.325
_cell_angle_alpha 117.41
_cell_angle_beta 117.41
_cell_angle_gamma 94.54
loop_
_atom_site_label
_atom_site_type_symbol
_atom_site_fract_x
_atom_site_fract_y
_atom_site_fract_z
Pm1 Pm 0.000 0.000 0.000
Dy1 Dy 0.250 0.750 0.500
Dy2 Dy 0.500 0.500 0.000
Dy3 Dy 0.750 0.250 0.500
Ho1 Ho 0.127 0.127 0.748
Ho2 Ho 0.246 0.739 0.000
Ho3 Ho 0.261 0.261 0.507
Ho4 Ho 0.379 0.379 0.252
Ho5 Ho 0.621 0.873 0.000
Ho6 Ho 0.739 0.246 0.000
Ho7 Ho 0.754 0.754 0.493
Ho8 Ho 0.873 0.621 0.000